This record from Alexandria describes a geometry-optimized Li2AgRh structure. The functional is PBE-GGA.

Unit cell a=3.741 b=3.741 c=8.289 alpha=90.00 beta=90.00 gamma=90.00
Space group I-4m2 (No. 119)
Asymmetric unit:
Li 0.000 0.000 0.000 (multiplicity 2)
Li 0.000 0.500 0.250 (multiplicity 2)
Ag 0.000 0.000 0.500 (multiplicity 2)
Rh 0.000 0.500 0.750 (multiplicity 2)

Calculated values
The crystal system is tetragonal. The total energy comes out at -0.1313 Ha/atom. The energy of formation from the pure elements comes out at -0.26 eV/f.u.